The following is a DFT calculation (PBE-GGA) of a relaxed structure of Pm12PrEr3.

Computed properties:
Crystal system: tetragonal
Total moment, μB/cell: 0.000
V, A^3/atom: 33.68
Energy relative to the elements, eV/atom: 0.016
Space-group type: P4/mmm, No. 123

abc: 5.1304 5.1304 20.4734
angles: 90.00 90.00 90.00
Last column: nearest neighbours and their distance in Å.
Positions (direct):
1 Pm 0.0000 0.0000 0.0000  8 Pm 3.61, 4 Er 3.63
2 Pm 0.0000 0.0000 0.2477  8 Pm 3.60-3.62, 4 Er 3.63
3 Pm 0.0000 0.0000 0.5000  4 Pr 3.63, 8 Pm 3.66
4 Pm 0.0000 0.0000 0.7523  8 Pm 3.60-3.62, 4 Er 3.63
5 Pm 0.0000 0.5000 0.1242  8 Pm 3.60-3.63, 4 Er 3.61
6 Pm 0.0000 0.5000 0.3725  2 Er 3.61, 8 Pm 3.62-3.66, 2 Pr 3.66
7 Pm 0.0000 0.5000 0.6275  2 Er 3.61, 8 Pm 3.62-3.66, 2 Pr 3.66
8 Pm 0.0000 0.5000 0.8758  8 Pm 3.60-3.63, 4 Er 3.61
9 Pm 0.5000 0.0000 0.1242  8 Pm 3.60-3.63, 4 Er 3.61
10 Pm 0.5000 0.0000 0.3725  2 Er 3.61, 8 Pm 3.62-3.66, 2 Pr 3.66
11 Pm 0.5000 0.0000 0.6275  2 Er 3.61, 8 Pm 3.62-3.66, 2 Pr 3.66
12 Pm 0.5000 0.0000 0.8758  8 Pm 3.60-3.63, 4 Er 3.61
13 Pr 0.5000 0.5000 0.5000  12 Pm 3.63-3.66
14 Er 0.5000 0.5000 0.0000  12 Pm 3.61-3.63
15 Er 0.5000 0.5000 0.2483  12 Pm 3.61-3.63
16 Er 0.5000 0.5000 0.7517  12 Pm 3.61-3.63